--- w ---
This record from Alexandria describes an optimized crystal structure of SmYPu. The functional is PBE-GGA.

Its volume is 94 Å³/f.u. The value obtained for the total moment is 6.23 μB/f.u.

It has space group P3m1 (No. 156), with a = 3.5601 Å, b = 3.5601 Å, c = 8.6035 Å, α = 90.00°, β = 90.00° and γ = 120.00°. Symmetry generates all atoms from Sm at (0.0000, 0.0000, 0.0000), Y at (0.6667, 0.3333, 0.3409) and Pu at (0.3333, 0.6667, 0.6691).


--- x ---
This record from Alexandria describes an optimized crystal structure of SmYPu. The functional is PBE-GGA.

Its volume is 94 Å³/f.u. The value obtained for the total moment is 6.17 μB/f.u.

It has space group I4mm (No. 107), with a = 3.540 Å, b = 3.540 Å, c = 14.948 Å, α = 90.00°, β = 90.00° and γ = 90.00°. Symmetry generates all atoms from Sm at (0.000, 0.000, 0.000), Y at (0.000, 0.000, 0.673) and Pu at (0.000, 0.000, 0.336).


Name the least stable of them. w.


--- w ---
This record from Alexandria describes an optimized crystal structure of Sm2PuZn. The functional is PBE-GGA.

Its volume is 117 Å³/f.u. The value obtained for the total moment is 6.42 μB/f.u.

It has space group R-3m (No. 166, hexagonal axes), with a = 3.4378 Å, b = 3.4378 Å, c = 34.2870 Å, α = 90.00°, β = 90.00° and γ = 120.00°. Symmetry generates all atoms from Sm at (0.0000, 0.0000, 0.0983), Pu at (0.0000, 0.0000, 0.0000) and Zn at (0.0000, 0.0000, 0.5000).


--- x ---
This record from Alexandria describes an optimized crystal structure of Sm2PuZn. The functional is PBE-GGA.

Its volume is 110 Å³/f.u. The value obtained for the total moment is 6.53 μB/f.u.

It has space group P4/mmm (No. 123), with a = 3.592 Å, b = 3.592 Å, c = 8.554 Å, α = 90.00°, β = 90.00° and γ = 90.00°. Symmetry generates all atoms from Sm at (0.000, 0.000, 0.212), Pu at (0.500, 0.500, 0.500) and Zn at (0.500, 0.500, 0.000).


Name the least stable of them. w.


--- w ---
This record from Alexandria describes an optimized crystal structure of SmPuZn2. The functional is PBE-GGA.

Its volume is 94 Å³/f.u. The value obtained for the total moment is 6.21 μB/f.u.

It has space group P4/mmm (No. 123), with a = 5.098 Å, b = 5.098 Å, c = 3.622 Å, α = 90.00°, β = 90.00° and γ = 90.00°. Symmetry generates all atoms from Sm at (0.000, 0.000, 0.000), Pu at (0.500, 0.500, 0.000) and Zn at (0.000, 0.500, 0.500).


--- x ---
This record from Alexandria describes an optimized crystal structure of SmPuZn2. The functional is PBE-GGA.

Its volume is 94 Å³/f.u. The value obtained for the total moment is 6.24 μB/f.u.

It has space group Fm-3m (No. 225), with a = 7.220 Å, b = 7.220 Å, c = 7.220 Å, α = 90.00°, β = 90.00° and γ = 90.00°. Symmetry generates all atoms from Sm at (0.000, 0.000, 0.000), Pu at (0.000, 0.000, 0.500) and Zn at (0.250, 0.250, 0.250).


Name the least stable of them. x.